# 1
# meta-GGA SCAN Dy9B5S21, PBEsol geometry
# formation energy from raw total energies: -38.78 kcal/mol of atoms
# spin magnetization: 0.0 μB per formula unit
data_Dy9B5S21
_symmetry_space_group_name_H-M 'R 3'
_symmetry_Int_Tables_number 146
_symmetry_space_group_name_Hall 'R 3'
_cell_length_a 16.3061
_cell_length_b 16.3061
_cell_length_c 17.1600
_cell_angle_alpha 90.00
_cell_angle_beta 90.00
_cell_angle_gamma 120.00
loop_
_atom_site_label
_atom_site_type_symbol
_atom_site_fract_x
_atom_site_fract_y
_atom_site_fract_z
Dy1 Dy 0.0217 0.2049 0.0000
Dy2 Dy 0.0316 0.2091 0.3105
Dy3 Dy 0.0377 0.1962 0.6486
Dy4 Dy 0.1556 0.6973 0.4762
Dy5 Dy 0.1574 0.7024 0.1653
Dy6 Dy 0.1692 0.6953 0.8173
B1 B 0.0000 0.0000 0.2906
B2 B 0.0000 0.0000 0.4705
B3 B 0.0000 0.0000 0.7893
B4 B 0.0000 0.0000 0.9698
B5 B 0.0001 0.6580 0.6794
B6 B 0.0117 0.3405 0.5128
S1 S 0.0080 0.5635 0.3866
S2 S 0.0118 0.6749 0.9008
S3 S 0.0153 0.3427 0.4008
S4 S 0.0175 0.1194 0.7986
S5 S 0.0180 0.5600 0.7249
S6 S 0.0210 0.1211 0.4722
S7 S 0.0207 0.1449 0.1452
S8 S 0.0306 0.5780 0.0563
S9 S 0.1123 0.3388 0.8906
S10 S 0.1132 0.3609 0.2210
S11 S 0.1182 0.1046 0.9717
S12 S 0.1194 0.1017 0.3002
S13 S 0.1277 0.3544 0.5565
S14 S 0.1488 0.1214 0.6440

---

# 2
# meta-GGA SCAN ZrTcSe2, PBEsol geometry
# formation energy from raw total energies: -11.63 kcal/mol of atoms
# spin magnetization: 0.0 μB per formula unit
# energy above the most stable polymorph in this dataset: 18 meV per atom
data_ZrTcSe2
_symmetry_space_group_name_H-M 'C 1 m 1'
_symmetry_Int_Tables_number 8
_cell_length_a 9.223
_cell_length_b 3.296
_cell_length_c 4.597
_cell_angle_alpha 90.00
_cell_angle_beta 103.36
_cell_angle_gamma 90.00
loop_
_symmetry_equiv_pos_as_xyz
'x,y,z'
'x,-y,z'
'x+1/2,y+1/2,z'
'x+1/2,-y+1/2,z'
loop_
_atom_site_label
_atom_site_type_symbol
_atom_site_fract_x
_atom_site_fract_y
_atom_site_fract_z
Zr1 Zr 0.000 0.000 0.000
Tc1 Tc 0.275 0.500 0.350
Se1 Se 0.003 0.500 0.492
Se2 Se 0.265 0.000 0.886